[1]
Material: K2CaRh
Method: DFT, GGA-PBE
State: optimized geometry

Structure (POSCAR):
```
K2CaRh
1.0
-2.2953 2.2953 5.9444
2.2953 -2.2953 5.9444
2.2953 2.2953 -5.9444
K Ca Rh
2 1 1
Cartesian
2.2953 0.0000 2.9722
0.0000 2.2953 2.9722
0.0000 0.0000 0.0000
0.0000 0.0000 5.9444
```

- E_tot: -2.440 eV per atom
- Energy of formation from the pure elements: 0.4469 eV/atom
- Space group: I4/mmm



[2]
Material: KCa2Rh
Method: DFT, GGA-PBE
State: optimized geometry

Structure (POSCAR):
```
KCa2Rh
1.0
-1.9964 3.1926 5.4671
1.9964 -3.1926 5.4671
1.9964 3.1926 -5.4671
K Ca Rh
1 2 1
Cartesian
0.0000 0.0000 0.0000
1.9964 0.0000 3.5731
0.0000 3.1926 1.8940
0.0000 0.0000 5.4671
```

- E_tot: -3.062 eV per atom
- Energy of formation from the pure elements: 0.0513 eV/atom
- Space group: Immm



[3]
Material: KCa3Rh
Method: DFT, GGA-PBE
State: optimized geometry

Structure (POSCAR):
```
KCa3Rh
1.0
3.5216 2.0332 10.2276
-3.5216 2.0332 10.2276
0.0000 -4.0663 10.2276
K Ca Rh
2 6 2
Cartesian
0.0000 0.0000 5.2098
0.0000 0.0000 25.4731
-1.1285 -1.9681 11.7368
-2.2687 -0.0067 18.9461
-1.1402 1.9614 11.7368
1.1402 -1.9614 18.9461
2.2687 0.0067 11.7367
1.1285 1.9681 18.9461
0.0000 0.0000 10.1211
0.0000 0.0000 20.5618
```

- E_tot: -2.992 eV per atom
- Energy of formation from the pure elements: -0.1014 eV/atom
- Space group: R-3



[4]
Material: K2CaRh
Method: DFT, GGA-PBE
State: optimized geometry

Structure (POSCAR):
```
K2CaRh
1.0
4.0619 0.0000 0.0000
0.0000 6.0913 0.0000
-0.8162 0.0000 5.1672
K Ca Rh
2 1 1
Cartesian
0.6196 0.0000 1.4503
2.6260 0.0000 3.7169
2.0309 3.0456 0.0000
-0.4081 3.0456 2.5836
```

- E_tot: -2.408 eV per atom
- Energy of formation from the pure elements: 0.4791 eV/atom
- Space group: P2/m



[5]
Material: K2CaRh
Method: DFT, GGA-PBE
State: optimized geometry

Structure (POSCAR):
```
K2CaRh
1.0
-1.8291 3.1055 7.0070
1.8291 -3.1055 7.0070
1.8291 3.1055 -7.0070
K Ca Rh
2 1 1
Cartesian
0.0000 0.0000 0.0000
0.0000 3.1055 2.4162
0.0000 0.0000 4.6384
1.8291 0.0000 2.7221
```

- E_tot: -2.621 eV per atom
- Energy of formation from the pure elements: 0.2656 eV/atom
- Space group: Imm2



[6]
Material: KCa3Rh
Method: DFT, GGA-PBE
State: optimized geometry

Structure (POSCAR):
```
KCa3Rh
1.0
-3.3424 3.3424 9.1717
3.3424 -3.3424 9.1717
3.3424 3.3424 -9.1717
K Ca Rh
2 6 2
Cartesian
0.0000 0.0000 3.3450
0.0000 0.0000 14.9985
3.3424 0.0000 0.7266
3.3424 1.7087 -2.4061
3.3424 0.0000 8.4451
0.0000 1.6337 6.7657
1.7087 3.3424 2.4061
1.6337 0.0000 11.5778
0.0000 0.0000 9.1717
0.0000 3.3424 4.5859
```

- E_tot: -2.763 eV per atom
- Energy of formation from the pure elements: 0.1282 eV/atom
- Space group: I-4m2